# HoTm14Th, optimized geometry, DFT PBE
# DFT total energy = -73.70 eV/cell
# space group = No. 38
data_HoTm14Th
_symmetry_space_group_name_H-M 'P 1'
_symmetry_Int_Tables_number 1
_cell_length_a 6.8407
_cell_length_b 6.8407
_cell_length_c 10.8985
_cell_angle_alpha 90.00
_cell_angle_beta 90.00
_cell_angle_gamma 107.54
loop_
_symmetry_equiv_pos_as_xyz
'x,y,z'
loop_
_atom_site_label
_atom_site_type_symbol
_atom_site_fract_x
_atom_site_fract_y
_atom_site_fract_z
Ho1 Ho 0.6971 0.3029 0.5000
Tm1 Tm 0.1092 0.8908 0.0000
Tm2 Tm 0.5572 0.4428 0.0000
Tm3 Tm 0.2130 0.3769 0.5000
Tm4 Tm 0.0402 0.3685 0.0000
Tm5 Tm 0.6231 0.7870 0.5000
Tm6 Tm 0.6315 0.9598 0.0000
Tm7 Tm 0.4132 0.1654 0.7499
Tm8 Tm 0.4132 0.1654 0.2501
Tm9 Tm 0.8346 0.5868 0.7499
Tm10 Tm 0.8346 0.5868 0.2501
Tm11 Tm 0.3456 0.6544 0.7682
Tm12 Tm 0.3456 0.6544 0.2318
Tm13 Tm 0.9045 0.0955 0.7330
Tm14 Tm 0.9045 0.0955 0.2670
Th1 Th 0.1331 0.8669 0.5000